5
Lattice="4.524 0.000 0.000 0.000 4.524 0.000 0.000 0.000 4.524" Properties=species:S:1:pos:R:3 comment="TiP3W (GGA-PBEsol, optimized geometry)" e_form_ev_per_atom=1.086 spacegroup="No. 221" crystal_system=cubic pbc="T T T"
Ti 0.000 0.000 0.000
P 0.000 0.000 2.262
P 0.000 2.262 0.000
P 2.262 0.000 0.000
W 2.262 2.262 2.262